i:
# Bi2AsI (PBE-GGA, optimized geometry)
data_Bi2AsI
_chemical_formula_sum 'Bi6 As3 I3'
_symmetry_space_group_name_H-M 'R -3 m'
_symmetry_Int_Tables_number 166
_symmetry_space_group_name_Hall '-R 3 2"'
_cell_length_a 3.9969
_cell_length_b 3.9969
_cell_length_c 27.1247
_cell_angle_alpha 90.00
_cell_angle_beta 90.00
_cell_angle_gamma 120.00
loop_
_atom_site_label
_atom_site_type_symbol
_atom_site_fract_x
_atom_site_fract_y
_atom_site_fract_z
Bi1 Bi 0.0000 0.0000 0.2367
As1 As 0.0000 0.0000 0.5000
I1 I 0.0000 0.0000 0.0000
# **DOS(E_F)**: 2.47 states/eV/f.u.



ii:
# Bi2AsI (PBE-GGA, optimized geometry)
data_Bi2AsI
_chemical_formula_sum 'Bi8 As4 I4'
_symmetry_space_group_name_H-M 'F m -3 m'
_symmetry_Int_Tables_number 225
_symmetry_space_group_name_Hall '-F 4 2 3'
_cell_length_a 7.7027
_cell_length_b 7.7027
_cell_length_c 7.7027
_cell_angle_alpha 90.00
_cell_angle_beta 90.00
_cell_angle_gamma 90.00
loop_
_atom_site_label
_atom_site_type_symbol
_atom_site_fract_x
_atom_site_fract_y
_atom_site_fract_z
Bi1 Bi 0.2500 0.2500 0.2500
As1 As 0.0000 0.0000 0.0000
I1 I 0.0000 0.0000 0.5000
# **DOS(E_F)**: 2.69 states/eV/f.u.



iii:
# Bi2AsI (PBE-GGA, optimized geometry)
data_Bi2AsI
_chemical_formula_sum 'Bi8 As4 I4'
_symmetry_space_group_name_H-M 'I -4 2 d'
_symmetry_Int_Tables_number 122
_symmetry_space_group_name_Hall 'I -4 2bw'
_cell_length_a 8.4307
_cell_length_b 8.4307
_cell_length_c 7.4617
_cell_angle_alpha 90.00
_cell_angle_beta 90.00
_cell_angle_gamma 90.00
loop_
_atom_site_label
_atom_site_type_symbol
_atom_site_fract_x
_atom_site_fract_y
_atom_site_fract_z
Bi1 Bi 0.2031 0.2500 0.1250
As1 As 0.0000 0.0000 0.0000
I1 I 0.0000 0.0000 0.5000
# **DOS(E_F)**: 0.56 states/eV/f.u.



iv:
# Bi2AsI (PBE-GGA, optimized geometry)
data_Bi2AsI
_chemical_formula_sum 'Bi8 As4 I4'
_symmetry_space_group_name_H-M 'P 1 21/c 1'
_symmetry_Int_Tables_number 14
_symmetry_space_group_name_Hall '-P 2ybc'
_cell_length_a 9.0976
_cell_length_b 7.8860
_cell_length_c 7.9845
_cell_angle_alpha 90.00
_cell_angle_beta 91.65
_cell_angle_gamma 90.00
loop_
_atom_site_label
_atom_site_type_symbol
_atom_site_fract_x
_atom_site_fract_y
_atom_site_fract_z
Bi1 Bi 0.1583 0.2042 0.4227
Bi2 Bi 0.2281 0.6692 0.0424
As1 As 0.0576 0.6064 0.3262
I1 I 0.4213 0.1328 0.1955
# **DOS(E_F)**: 0.27 states/eV/f.u.



Relative calculated energies, zero for the most stable structure, unit kJ/mol of atoms: i 7.9; ii 32.4; iii 16.5; iv 0.0.



i:
# BiAsI2 (PBE-GGA, optimized geometry)
data_BiAsI2
_chemical_formula_sum 'Bi4 As4 I8'
_symmetry_space_group_name_H-M 'F m -3 m'
_symmetry_Int_Tables_number 225
_symmetry_space_group_name_Hall '-F 4 2 3'
_cell_length_a 7.8042
_cell_length_b 7.8042
_cell_length_c 7.8042
_cell_angle_alpha 90.00
_cell_angle_beta 90.00
_cell_angle_gamma 90.00
loop_
_atom_site_label
_atom_site_type_symbol
_atom_site_fract_x
_atom_site_fract_y
_atom_site_fract_z
Bi1 Bi 0.0000 0.0000 0.0000
As1 As 0.0000 0.0000 0.5000
I1 I 0.2500 0.2500 0.2500
# **DOS(E_F)**: 3.65 states/eV/f.u.



ii:
# BiAsI2 (PBE-GGA, optimized geometry)
data_BiAsI2
_chemical_formula_sum 'Bi4 As4 I8'
_symmetry_space_group_name_H-M 'I -4 2 d'
_symmetry_Int_Tables_number 122
_symmetry_space_group_name_Hall 'I -4 2bw'
_cell_length_a 8.6498
_cell_length_b 8.6498
_cell_length_c 7.1086
_cell_angle_alpha 90.00
_cell_angle_beta 90.00
_cell_angle_gamma 90.00
loop_
_atom_site_label
_atom_site_type_symbol
_atom_site_fract_x
_atom_site_fract_y
_atom_site_fract_z
Bi1 Bi 0.0000 0.0000 0.0000
As1 As 0.0000 0.0000 0.5000
I1 I 0.2283 0.2500 0.6250
# **DOS(E_F)**: 3.47 states/eV/f.u.



Relative calculated energies, zero for the most stable structure, unit kJ/mol of atoms: i 7.2; ii 0.0.



i:
# BiAsI3 (PBE-GGA, optimized geometry)
data_BiAsI3
_chemical_formula_sum 'Bi1 As1 I3'
_symmetry_space_group_name_H-M 'P m -3 m'
_symmetry_Int_Tables_number 221
_symmetry_space_group_name_Hall '-P 4 2 3'
_cell_length_a 6.1760
_cell_length_b 6.1760
_cell_length_c 6.1760
_cell_angle_alpha 90.00
_cell_angle_beta 90.00
_cell_angle_gamma 90.00
loop_
_atom_site_label
_atom_site_type_symbol
_atom_site_fract_x
_atom_site_fract_y
_atom_site_fract_z
Bi1 Bi 0.0000 0.0000 0.0000
As1 As 0.5000 0.5000 0.5000
I1 I 0.0000 0.0000 0.5000
# **DOS(E_F)**: 2.84 states/eV/f.u.



ii:
# BiAsI3 (PBE-GGA, optimized geometry)
data_BiAsI3
_chemical_formula_sum 'Bi1 As1 I3'
_symmetry_space_group_name_H-M 'P m -3 m'
_symmetry_Int_Tables_number 221
_symmetry_space_group_name_Hall '-P 4 2 3'
_cell_length_a 5.6915
_cell_length_b 5.6915
_cell_length_c 5.6915
_cell_angle_alpha 90.00
_cell_angle_beta 90.00
_cell_angle_gamma 90.00
loop_
_atom_site_label
_atom_site_type_symbol
_atom_site_fract_x
_atom_site_fract_y
_atom_site_fract_z
Bi1 Bi 0.0000 0.0000 0.0000
As1 As 0.5000 0.5000 0.5000
I1 I 0.0000 0.5000 0.5000
# **DOS(E_F)**: 5.32 states/eV/f.u.



Relative calculated energies, zero for the most stable structure, unit kJ/mol of atoms: i 1.3; ii 0.0.



i:
# Tl2BiAsI (PBE-GGA, optimized geometry)
data_Tl2BiAsI
_chemical_formula_sum 'Tl2 Bi1 As1 I1'
_symmetry_space_group_name_H-M 'P 4/m m m'
_symmetry_Int_Tables_number 123
_symmetry_space_group_name_Hall '-P 4 2'
_cell_length_a 5.6779
_cell_length_b 5.6779
_cell_length_c 5.5346
_cell_angle_alpha 90.00
_cell_angle_beta 90.00
_cell_angle_gamma 90.00
loop_
_atom_site_label
_atom_site_type_symbol
_atom_site_fract_x
_atom_site_fract_y
_atom_site_fract_z
Tl1 Tl 0.0000 0.5000 0.0000
Bi1 Bi 0.0000 0.0000 0.5000
As1 As 0.5000 0.5000 0.0000
I1 I 0.5000 0.5000 0.5000
# **DOS(E_F)**: 4.30 states/eV/f.u.



ii:
# Tl2BiAsI (PBE-GGA, optimized geometry)
data_Tl2BiAsI
_chemical_formula_sum 'Tl2 Bi1 As1 I1'
_symmetry_space_group_name_H-M 'P 4/m m m'
_symmetry_Int_Tables_number 123
_symmetry_space_group_name_Hall '-P 4 2'
_cell_length_a 6.2102
_cell_length_b 6.2102
_cell_length_c 6.0474
_cell_angle_alpha 90.00
_cell_angle_beta 90.00
_cell_angle_gamma 90.00
loop_
_atom_site_label
_atom_site_type_symbol
_atom_site_fract_x
_atom_site_fract_y
_atom_site_fract_z
Tl1 Tl 0.0000 0.5000 0.0000
Bi1 Bi 0.0000 0.0000 0.5000
As1 As 0.5000 0.5000 0.5000
I1 I 0.0000 0.0000 0.0000
# **DOS(E_F)**: 4.68 states/eV/f.u.



Relative calculated energies, zero for the most stable structure, unit kJ/mol of atoms: i 0.0; ii 37.0.



i:
# InBiAs2 (PBE-GGA, optimized geometry)
data_InBiAs2
_chemical_formula_sum 'In3 Bi3 As6'
_symmetry_space_group_name_H-M 'R -3 m'
_symmetry_Int_Tables_number 166
_symmetry_space_group_name_Hall '-R 3 2"'
_cell_length_a 4.1849
_cell_length_b 4.1849
_cell_length_c 20.1556
_cell_angle_alpha 90.00
_cell_angle_beta 90.00
_cell_angle_gamma 120.00
loop_
_atom_site_label
_atom_site_type_symbol
_atom_site_fract_x
_atom_site_fract_y
_atom_site_fract_z
In1 In 0.0000 0.0000 0.0000
Bi1 Bi 0.0000 0.0000 0.5000
As1 As 0.0000 0.0000 0.2550
# **DOS(E_F)**: 1.70 states/eV/f.u.



ii:
# InBiAs2 (PBE-GGA, optimized geometry)
data_InBiAs2
_chemical_formula_sum 'In4 Bi4 As8'
_symmetry_space_group_name_H-M 'F m -3 m'
_symmetry_Int_Tables_number 225
_symmetry_space_group_name_Hall '-F 4 2 3'
_cell_length_a 7.2657
_cell_length_b 7.2657
_cell_length_c 7.2657
_cell_angle_alpha 90.00
_cell_angle_beta 90.00
_cell_angle_gamma 90.00
loop_
_atom_site_label
_atom_site_type_symbol
_atom_site_fract_x
_atom_site_fract_y
_atom_site_fract_z
In1 In 0.0000 0.0000 0.0000
Bi1 Bi 0.0000 0.0000 0.5000
As1 As 0.2500 0.2500 0.2500
# **DOS(E_F)**: 2.38 states/eV/f.u.



Relative calculated energies, zero for the most stable structure, unit kJ/mol of atoms: i 0.0; ii 22.3.



i:
# InBiAs2 (PBE-GGA, optimized geometry)
data_InBiAs2
_chemical_formula_sum 'In4 Bi4 As8'
_symmetry_space_group_name_H-M 'I -4 2 d'
_symmetry_Int_Tables_number 122
_symmetry_space_group_name_Hall 'I -4 2bw'
_cell_length_a 6.4674
_cell_length_b 6.4674
_cell_length_c 12.8955
_cell_angle_alpha 90.00
_cell_angle_beta 90.00
_cell_angle_gamma 90.00
loop_
_atom_site_label
_atom_site_type_symbol
_atom_site_fract_x
_atom_site_fract_y
_atom_site_fract_z
In1 In 0.0000 0.0000 0.0000
Bi1 Bi 0.0000 0.0000 0.5000
As1 As 0.2227 0.2500 0.1250
# **DOS(E_F)**: 0.00 states/eV/f.u.



ii:
# InBiAs2 (PBE-GGA, optimized geometry)
data_InBiAs2
_chemical_formula_sum 'In3 Bi3 As6'
_symmetry_space_group_name_H-M 'R 3 m'
_symmetry_Int_Tables_number 160
_symmetry_space_group_name_Hall 'R 3 -2"'
_cell_length_a 4.0754
_cell_length_b 4.0754
_cell_length_c 21.6721
_cell_angle_alpha 90.00
_cell_angle_beta 90.00
_cell_angle_gamma 120.00
loop_
_atom_site_label
_atom_site_type_symbol
_atom_site_fract_x
_atom_site_fract_y
_atom_site_fract_z
In1 In 0.0000 0.0000 0.0000
Bi1 Bi 0.0000 0.0000 0.1689
As1 As 0.0000 0.0000 0.5857
As2 As 0.0000 0.0000 0.7465
# **DOS(E_F)**: 2.72 states/eV/f.u.



Relative calculated energies, zero for the most stable structure, unit kJ/mol of atoms: i 0.0; ii 1.1.